Below is crystalline InIrSe3 at its relaxed geometry, with properties calculated at the PBE level.

The structure in CIF format:
```
data_InIrSe3
_cell_length_a 6.6587
_cell_length_b 6.6587
_cell_length_c 19.7712
_cell_angle_alpha 90.00
_cell_angle_beta 90.00
_cell_angle_gamma 120.00
_space_group_name_H-M_alt 'R 3'
_space_group_IT_number 146
_space_group_name_Hall 'R 3'
loop_
_atom_site_label
_atom_site_type_symbol
_atom_site_fract_x
_atom_site_fract_y
_atom_site_fract_z
In1 In 0.0000 0.0000 0.0000
In2 In 0.0000 0.0000 0.1716
Ir1 Ir 0.0000 0.0000 0.3555
Ir2 Ir 0.0000 0.0000 0.6810
Se1 Se 0.0118 0.6261 0.9473
Se2 Se 0.0182 0.3412 0.4166
```

Summary:
Calculated total energy = -142.62 eV/cell
Uncorrected formation energy = -33.1 kJ per mole of atoms
Energy above the most stable polymorph in this dataset = 32 meV/atom

Below is crystalline InIrSe3 at its relaxed geometry, with properties calculated at the PBE level.

The structure in CIF format:
```
data_InIrSe3
_cell_length_a 6.6591
_cell_length_b 6.6591
_cell_length_c 18.0414
_cell_angle_alpha 90.00
_cell_angle_beta 90.00
_cell_angle_gamma 120.00
_space_group_name_H-M_alt 'R -3'
_space_group_IT_number 148
_space_group_name_Hall '-R 3'
loop_
_atom_site_label
_atom_site_type_symbol
_atom_site_fract_x
_atom_site_fract_y
_atom_site_fract_z
In1 In 0.0000 0.0000 0.1270
Ir1 Ir 0.0000 0.0000 0.3425
Se1 Se 0.0219 0.6264 0.9216
```

Summary:
Calculated total energy = -143.05 eV/cell
Uncorrected formation energy = -34.5 kJ per mole of atoms
Energy above the most stable polymorph in this dataset = 18 meV/atom

Below is crystalline InIrSe3 at its relaxed geometry, with properties calculated at the PBE level.

The structure in CIF format:
```
data_InIrSe3
_cell_length_a 13.2650
_cell_length_b 3.8485
_cell_length_c 4.8813
_cell_angle_alpha 90.00
_cell_angle_beta 100.40
_cell_angle_gamma 90.00
_space_group_name_H-M_alt 'C 1 m 1'
_space_group_IT_number 8
_space_group_name_Hall 'C -2y'
loop_
_atom_site_label
_atom_site_type_symbol
_atom_site_fract_x
_atom_site_fract_y
_atom_site_fract_z
In1 In 0.0000 0.0000 0.0000
Ir1 Ir 0.3080 0.5000 0.0767
Se1 Se 0.1283 0.5000 0.1967
Se2 Se 0.2500 0.0000 0.7625
Se3 Se 0.3651 0.0000 0.4069
```

Summary:
Calculated total energy = -46.87 eV/cell
Uncorrected formation energy = -26.7 kJ per mole of atoms
Energy above the most stable polymorph in this dataset = 99 meV/atom